# KFeBr2F

KFeBr2F after structural relaxation (PBE with a Hubbard U, the Alexandria database).

abc: 5.4885 5.4885 4.0422
angles: 90.00 90.00 90.00
Fractional positions:
K  0.5000  0.5000  0.5000
Fe  0.0000  0.0000  0.0000
Br  0.0000  0.5000  0.0000
Br  0.5000  0.0000  0.0000
F  0.0000  0.0000  0.5000

Output
* total magnetic moment: 0.80 μB/atom
* SG: P4/mmm (123)
* DFT total energy: -20.2 eV per formula unit